Density functional theory data (PBE) for an optimized crystal structure of Nd12In3Cu.

Summary:
Calculated volume   486.5 Å³ per cell
Symmetry   P4/mmm (123)
Density of states at the Fermi level   22.7 states/eV/f.u.
Calculated total energy   -72.29 eV/f.u.

Cell: 4.975 4.975 19.652 Å, 90.00 90.00 90.00°
Positions (direct):
Nd (0.000, 0.000, 0.000)
Nd (0.000, 0.000, 0.243)
Nd (0.000, 0.000, 0.500)
Nd (0.000, 0.000, 0.757)
Nd (0.000, 0.500, 0.118)
Nd (0.000, 0.500, 0.372)
Nd (0.000, 0.500, 0.628)
Nd (0.000, 0.500, 0.882)
Nd (0.500, 0.000, 0.118)
Nd (0.500, 0.000, 0.372)
Nd (0.500, 0.000, 0.628)
Nd (0.500, 0.000, 0.882)
In (0.500, 0.500, 0.245)
In (0.500, 0.500, 0.500)
In (0.500, 0.500, 0.755)
Cu (0.500, 0.500, 0.000)

=====

Density functional theory data (PBE) for an optimized crystal structure of Nd4InCu.

Summary:
Calculated volume   353.9 Å³ per cell
Symmetry   P2_1/c (14)
Density of states at the Fermi level   6.6 states/eV/f.u.
ΔE to the lowest computed polymorph   137.9 meV per atom

Cell: 6.368 9.281 6.217 Å, 90.00 105.62 90.00°
Positions (direct):
Nd (0.095, 0.173, 0.128)
Nd (0.095, 0.327, 0.628)
Nd (0.383, 0.654, 0.941)
Nd (0.383, 0.846, 0.441)
Nd (0.617, 0.154, 0.559)
Nd (0.617, 0.346, 0.059)
Nd (0.905, 0.673, 0.372)
Nd (0.905, 0.827, 0.872)
In (0.500, 0.000, 0.000)
In (0.500, 0.500, 0.500)
Cu (0.000, 0.000, 0.500)
Cu (0.000, 0.500, 0.000)

=====

Density functional theory data (PBE) for an optimized crystal structure of Nd8In2Cu.

Summary:
Calculated volume   341.1 Å³ per cell
Symmetry   C2/m (12)
Density of states at the Fermi level   10.8 states/eV/f.u.
Calculated total energy   -49.73 eV/f.u.

Cell: 10.007 10.007 6.925 Å, 104.23 104.23 30.58°
Positions (direct):
Nd (0.014, 0.014, 0.278)
Nd (0.209, 0.209, 0.798)
Nd (0.350, 0.350, 0.522)
Nd (0.408, 0.408, 0.039)
Nd (0.592, 0.592, 0.961)
Nd (0.650, 0.650, 0.478)
Nd (0.791, 0.791, 0.202)
Nd (0.986, 0.986, 0.722)
In (0.182, 0.182, 0.244)
In (0.818, 0.818, 0.756)
Cu (0.500, 0.500, 0.500)

=====

Density functional theory data (PBE) for an optimized crystal structure of Nd3InCu.

Summary:
Calculated volume   572.2 Å³ per cell
Symmetry   C2/c (15)
Density of states at the Fermi level   5.6 states/eV/f.u.
Calculated total energy   -21.86 eV/f.u.

Cell: 6.925 6.925 14.273 Å, 95.67 95.67 57.27°
Positions (direct):
Nd (0.011, 0.321, 0.807)
Nd (0.082, 0.787, 0.892)
Nd (0.180, 0.446, 0.599)
Nd (0.213, 0.918, 0.608)
Nd (0.321, 0.011, 0.307)
Nd (0.446, 0.180, 0.099)
Nd (0.554, 0.820, 0.901)
Nd (0.679, 0.989, 0.693)
Nd (0.787, 0.082, 0.392)
Nd (0.820, 0.554, 0.401)
Nd (0.918, 0.213, 0.108)
Nd (0.989, 0.679, 0.193)
In (0.297, 0.585, 0.405)
In (0.415, 0.703, 0.095)
In (0.585, 0.297, 0.905)
In (0.703, 0.415, 0.595)
Cu (0.000, 0.500, 0.000)
Cu (0.457, 0.543, 0.750)
Cu (0.500, 0.000, 0.500)
Cu (0.543, 0.457, 0.250)

=====

Density functional theory data (PBE) for an optimized crystal structure of Nd2In5Cu3.

Summary:
Calculated volume   450.5 Å³ per cell
Symmetry   Ibam (72)
Density of states at the Fermi level   4.0 states/eV/f.u.
ΔE to the lowest computed polymorph   9.1 meV per atom

Cell: 9.028 9.028 9.028 Å, 102.82 91.45 138.84°
Positions (direct):
Nd (0.136, 0.242, 0.379)
Nd (0.364, 0.742, 0.106)
Nd (0.636, 0.258, 0.894)
Nd (0.864, 0.758, 0.621)
In (0.007, 0.750, 0.257)
In (0.100, 0.652, 0.753)
In (0.250, 0.250, 0.000)
In (0.400, 0.152, 0.552)
In (0.493, 0.750, 0.743)
In (0.507, 0.250, 0.257)
In (0.600, 0.848, 0.448)
In (0.750, 0.750, 0.000)
In (0.900, 0.348, 0.247)
In (0.993, 0.250, 0.743)
Cu (0.130, 0.875, 0.005)
Cu (0.250, 0.750, 0.500)
Cu (0.370, 0.375, 0.745)
Cu (0.630, 0.625, 0.255)
Cu (0.750, 0.250, 0.500)
Cu (0.870, 0.125, 0.995)

=====

Density functional theory data (PBE) for an optimized crystal structure of NdInCu2.

Summary:
Calculated volume   78.3 Å³ per cell
Symmetry   Fm-3m (225)
Density of states at the Fermi level   2.5 states/eV/f.u.
Calculated total energy   -16.86 eV/f.u.

Cell: 4.802 4.802 4.802 Å, 60.00 60.00 60.00°
Positions (direct):
Nd (0.000, 0.000, 0.000)
In (0.500, 0.500, 0.500)
Cu (0.250, 0.250, 0.250)
Cu (0.750, 0.750, 0.750)

=====

Density functional theory data (PBE) for an optimized crystal structure of Nd2In2Cu15.

Summary:
Calculated volume   290.1 Å³ per cell
Symmetry   R-3m (166)
Density of states at the Fermi level   11.0 states/eV/f.u.
Calculated total energy   -78.16 eV/f.u.

Cell: 6.667 6.667 6.667 Å, 82.96 82.96 82.96°
Positions (direct):
Nd (0.145, 0.145, 0.145)
Nd (0.855, 0.855, 0.855)
In (0.391, 0.391, 0.391)
In (0.609, 0.609, 0.609)
Cu (0.000, 0.500, 0.500)
Cu (0.151, 0.151, 0.658)
Cu (0.151, 0.658, 0.151)
Cu (0.197, 0.500, 0.803)
Cu (0.197, 0.803, 0.500)
Cu (0.342, 0.849, 0.849)
Cu (0.500, 0.000, 0.500)
Cu (0.500, 0.197, 0.803)
Cu (0.500, 0.500, 0.000)
Cu (0.500, 0.803, 0.197)
Cu (0.658, 0.151, 0.151)
Cu (0.803, 0.197, 0.500)
Cu (0.803, 0.500, 0.197)
Cu (0.849, 0.342, 0.849)
Cu (0.849, 0.849, 0.342)

=====

Density functional theory data (PBE) for an optimized crystal structure of NdInCu.

Summary:
Calculated volume   206.1 Å³ per cell
Symmetry   P-62m (189)
Density of states at the Fermi level   1.2 states/eV/f.u.
Calculated total energy   -12.78 eV/f.u.

Cell: 7.638 7.638 4.080 Å, 90.00 90.00 120.00°
Positions (direct):
Nd (0.000, 0.587, 0.000)
Nd (0.413, 0.413, 0.000)
Nd (0.587, 0.000, 0.000)
In (0.000, 0.249, 0.500)
In (0.249, 0.000, 0.500)
In (0.751, 0.751, 0.500)
Cu (0.000, 0.000, 0.000)
Cu (0.333, 0.667, 0.500)
Cu (0.667, 0.333, 0.500)

=====

Density functional theory data (PBE) for an optimized crystal structure of Nd6InCu2.

Summary:
Calculated volume   525.8 Å³ per cell
Symmetry   Immm (71)
Density of states at the Fermi level   9.7 states/eV/f.u.
Calculated total energy   -41.08 eV/f.u.

Cell: 8.822 8.822 8.822 Å, 114.02 108.45 106.05°
Positions (direct):
Nd (0.040, 0.237, 0.803)
Nd (0.186, 0.282, 0.468)
Nd (0.186, 0.718, 0.903)
Nd (0.320, 0.017, 0.697)
Nd (0.320, 0.623, 0.303)
Nd (0.435, 0.237, 0.197)
Nd (0.565, 0.763, 0.803)
Nd (0.680, 0.377, 0.697)
Nd (0.680, 0.983, 0.303)
Nd (0.814, 0.282, 0.097)
Nd (0.814, 0.718, 0.532)
Nd (0.960, 0.763, 0.197)
In (0.000, 0.000, 0.000)
In (0.500, 0.500, 0.000)
Cu (0.116, 0.616, 0.500)
Cu (0.354, 0.000, 0.354)
Cu (0.646, 0.000, 0.646)
Cu (0.884, 0.384, 0.500)

=====

Density functional theory data (PBE) for an optimized crystal structure of Nd4In5Cu2.

Summary:
Calculated volume   288.2 Å³ per cell
Symmetry   P2/m (10)
Density of states at the Fermi level   9.3 states/eV/f.u.
Calculated total energy   -44.94 eV/f.u.

Cell: 7.796 3.778 9.816 Å, 90.00 94.41 90.00°
Positions (direct):
Nd (0.180, 0.000, 0.361)
Nd (0.235, 0.000, 0.938)
Nd (0.765, 0.000, 0.062)
Nd (0.820, 0.000, 0.639)
In (0.175, 0.500, 0.655)
In (0.448, 0.500, 0.182)
In (0.500, 0.500, 0.500)
In (0.552, 0.500, 0.818)
In (0.825, 0.500, 0.345)
Cu (0.065, 0.500, 0.127)
Cu (0.935, 0.500, 0.873)

=====

Density functional theory data (PBE) for an optimized crystal structure of NdIn2Cu.

Summary:
Calculated volume   94.8 Å³ per cell
Symmetry   P4/mmm (123)
Density of states at the Fermi level   3.9 states/eV/f.u.
Calculated total energy   -15.26 eV/f.u.

Cell: 4.513 4.513 4.655 Å, 90.00 90.00 90.00°
Positions (direct):
Nd (0.000, 0.000, 0.000)
In (0.000, 0.500, 0.500)
In (0.500, 0.000, 0.500)
Cu (0.500, 0.500, 0.000)

=====

Density functional theory data (PBE) for an optimized crystal structure of NdInCu.

Summary:
Calculated volume   71.8 Å³ per cell
Symmetry   P-6m2 (187)
Density of states at the Fermi level   3.6 states/eV/f.u.
Calculated total energy   -12.58 eV/f.u.

Cell: 4.684 4.684 3.777 Å, 90.00 90.00 120.00°
Positions (direct):
Nd (0.000, 0.000, 0.000)
In (0.667, 0.333, 0.500)
Cu (0.333, 0.667, 0.500)

=====

Density functional theory data (PBE) for an optimized crystal structure of Nd2InCu3.

Summary:
Calculated volume   264.2 Å³ per cell
Symmetry   Fmmm (69)
Density of states at the Fermi level   4.9 states/eV/f.u.
Calculated total energy   -25.86 eV/f.u.

Cell: 9.078 8.718 5.841 Å, 74.21 67.54 38.25°
Positions (direct):
Nd (0.236, 0.764, 0.764)
Nd (0.250, 0.250, 0.250)
Nd (0.750, 0.750, 0.750)
Nd (0.764, 0.236, 0.236)
In (0.335, 0.335, 0.665)
In (0.665, 0.665, 0.335)
Cu (0.163, 0.163, 0.837)
Cu (0.164, 0.677, 0.323)
Cu (0.323, 0.836, 0.164)
Cu (0.677, 0.164, 0.836)
Cu (0.836, 0.323, 0.677)
Cu (0.837, 0.837, 0.163)

=====

Density functional theory data (PBE) for an optimized crystal structure of NdIn2Cu9.

Summary:
Calculated volume   183.3 Å³ per cell
Symmetry   R-3m (166)
Density of states at the Fermi level   3.6 states/eV/f.u.
ΔE to the lowest computed polymorph   6.7 meV per atom

Cell: 8.697 8.697 8.697 Å, 34.00 34.00 34.00°
Positions (direct):
Nd (0.000, 0.000, 0.000)
In (0.141, 0.141, 0.141)
In (0.859, 0.859, 0.859)
Cu (0.081, 0.586, 0.586)
Cu (0.334, 0.334, 0.334)
Cu (0.414, 0.414, 0.919)
Cu (0.414, 0.919, 0.414)
Cu (0.500, 0.500, 0.500)
Cu (0.586, 0.081, 0.586)
Cu (0.586, 0.586, 0.081)
Cu (0.666, 0.666, 0.666)
Cu (0.919, 0.414, 0.414)

=====

Density functional theory data (PBE) for an optimized crystal structure of Nd2In8Cu.

Summary:
Calculated volume   277.1 Å³ per cell
Symmetry   P4/mmm (123)
Density of states at the Fermi level   3.8 states/eV/f.u.
Calculated total energy   -39.18 eV/f.u.

Cell: 4.740 4.740 12.332 Å, 90.00 90.00 90.00°
Positions (direct):
Nd (0.000, 0.000, 0.192)
Nd (0.000, 0.000, 0.808)
In (0.000, 0.500, 0.000)
In (0.000, 0.500, 0.377)
In (0.000, 0.500, 0.623)
In (0.500, 0.000, 0.000)
In (0.500, 0.000, 0.377)
In (0.500, 0.000, 0.623)
In (0.500, 0.500, 0.193)
In (0.500, 0.500, 0.807)
Cu (0.000, 0.000, 0.500)

=====

Density functional theory data (PBE) for an optimized crystal structure of Nd5InCu4.

Summary:
Calculated volume   243.3 Å³ per cell
Symmetry   P4/mmm (123)
Density of states at the Fermi level   8.7 states/eV/f.u.
Calculated total energy   -45.02 eV/f.u.

Cell: 3.604 3.604 18.734 Å, 90.00 90.00 90.00°
Positions (direct):
Nd (0.000, 0.000, 0.000)
Nd (0.000, 0.000, 0.192)
Nd (0.000, 0.000, 0.383)
Nd (0.000, 0.000, 0.617)
Nd (0.000, 0.000, 0.808)
In (0.500, 0.500, 0.500)
Cu (0.500, 0.500, 0.096)
Cu (0.500, 0.500, 0.286)
Cu (0.500, 0.500, 0.714)
Cu (0.500, 0.500, 0.904)

=====

Density functional theory data (PBE) for an optimized crystal structure of NdInCuNi.

Summary:
Calculated volume   76.3 Å³ per cell
Symmetry   F-43m (216)
Density of states at the Fermi level   4.2 states/eV/f.u.
Calculated total energy   -18.37 eV/f.u.

Cell: 4.760 4.760 4.760 Å, 60.00 60.00 60.00°
Positions (direct):
Nd (0.000, 0.000, 0.000)
In (0.500, 0.500, 0.500)
Cu (0.250, 0.250, 0.250)
Ni (0.750, 0.750, 0.750)

=====

Density functional theory data (PBE) for an optimized crystal structure of Nd2InCu12Ni3.

Summary:
Calculated volume   266.4 Å³ per cell
Symmetry   R-3m (166)
Density of states at the Fermi level   8.1 states/eV/f.u.
Calculated total energy   -77.08 eV/f.u.

Cell: 6.476 6.476 6.476 Å, 83.26 83.26 83.26°
Positions (direct):
Nd (0.242, 0.242, 0.242)
Nd (0.758, 0.758, 0.758)
In (0.500, 0.500, 0.500)
Cu (0.078, 0.078, 0.651)
Cu (0.078, 0.651, 0.078)
Cu (0.212, 0.705, 0.705)
Cu (0.295, 0.295, 0.788)
Cu (0.295, 0.788, 0.295)
Cu (0.349, 0.922, 0.922)
Cu (0.651, 0.078, 0.078)
Cu (0.705, 0.212, 0.705)
Cu (0.705, 0.705, 0.212)
Cu (0.788, 0.295, 0.295)
Cu (0.922, 0.349, 0.922)
Cu (0.922, 0.922, 0.349)
Ni (0.000, 0.500, 0.500)
Ni (0.500, 0.000, 0.500)
Ni (0.500, 0.500, 0.000)

=====

Density functional theory data (PBE) for an optimized crystal structure of Nd2InCu3Ni12.

Summary:
Calculated volume   280.9 Å³ per cell
Symmetry   R-3m (166)
Density of states at the Fermi level   26.6 states/eV/f.u.
Calculated total energy   -90.05 eV/f.u.

Cell: 9.362 9.362 9.362 Å, 38.13 38.13 38.13°
Positions (direct):
Nd (0.138, 0.138, 0.138)
Nd (0.862, 0.862, 0.862)
In (0.500, 0.500, 0.500)
Cu (0.000, 0.500, 0.500)
Cu (0.500, 0.000, 0.500)
Cu (0.500, 0.500, 0.000)
Ni (0.037, 0.629, 0.629)
Ni (0.083, 0.083, 0.704)
Ni (0.083, 0.704, 0.083)
Ni (0.296, 0.917, 0.917)
Ni (0.371, 0.371, 0.963)
Ni (0.371, 0.963, 0.371)
Ni (0.629, 0.037, 0.629)
Ni (0.629, 0.629, 0.037)
Ni (0.704, 0.083, 0.083)
Ni (0.917, 0.296, 0.917)
Ni (0.917, 0.917, 0.296)
Ni (0.963, 0.371, 0.371)

=====

Density functional theory data (PBE) for an optimized crystal structure of Nd2InCu2Pd5.

Summary:
Calculated volume   367.0 Å³ per cell
Symmetry   P4/mbm (127)
Density of states at the Fermi level   3.6 states/eV/f.u.
Calculated total energy   -52.73 eV/f.u.

Cell: 9.670 9.670 3.924 Å, 90.00 90.00 90.00°
Positions (direct):
Nd (0.175, 0.325, 0.000)
Nd (0.325, 0.825, 0.000)
Nd (0.675, 0.175, 0.000)
Nd (0.825, 0.675, 0.000)
In (0.000, 0.000, 0.000)
In (0.500, 0.500, 0.000)
Cu (0.121, 0.621, 0.000)
Cu (0.379, 0.121, 0.000)
Cu (0.621, 0.879, 0.000)
Cu (0.879, 0.379, 0.000)
Pd (0.000, 0.500, 0.500)
Pd (0.067, 0.791, 0.500)
Pd (0.209, 0.067, 0.500)
Pd (0.291, 0.567, 0.500)
Pd (0.433, 0.291, 0.500)
Pd (0.500, 0.000, 0.500)
Pd (0.567, 0.709, 0.500)
Pd (0.709, 0.433, 0.500)
Pd (0.791, 0.933, 0.500)
Pd (0.933, 0.209, 0.500)